VASP calculation (PBE) on a relaxed structure of NbHPb2.

Offset from the most stable computed form in meV/atom: 363.0

```
data_NbHPb2
_chemical_formula_sum 'Nb4 H4 Pb8'
_cell_length_a 7.003
_cell_length_b 7.003
_cell_length_c 7.003
_cell_angle_alpha 90.00
_cell_angle_beta 90.00
_cell_angle_gamma 90.00
_space_group_name_H-M_alt 'F m -3 m'
_space_group_IT_number 225
_space_group_name_Hall '-F 4 2 3'
loop_
_atom_site_label
_atom_site_fract_x
_atom_site_fract_y
_atom_site_fract_z
Nb1 0.000 0.000 0.000
H1 0.000 0.000 0.500
Pb1 0.250 0.250 0.250
```

---

VASP calculation (PBE) on a relaxed structure of BaSrLa2Fe.

Offset from the most stable computed form in meV/atom: 31.6
E_form in eV/atom: 0.1998

```
data_BaSrLa2Fe
_chemical_formula_sum 'Ba1 Sr1 La2 Fe1'
_cell_length_a 5.432
_cell_length_b 5.432
_cell_length_c 6.416
_cell_angle_alpha 90.00
_cell_angle_beta 90.00
_cell_angle_gamma 90.00
_space_group_name_H-M_alt 'P 4/m m m'
_space_group_IT_number 123
_space_group_name_Hall '-P 4 2'
loop_
_atom_site_label
_atom_site_fract_x
_atom_site_fract_y
_atom_site_fract_z
Ba1 0.000 0.000 0.000
Sr1 0.500 0.500 0.000
La1 0.000 0.500 0.500
Fe1 0.000 0.000 0.500
```

---

VASP calculation (PBE) on a relaxed structure of Pr6Ag5Ru.

E_form in eV/atom: -0.2347

```
data_Pr6Ag5Ru
_chemical_formula_sum 'Pr12 Ag10 Ru2'
_cell_length_a 5.286
_cell_length_b 15.838
_cell_length_c 7.513
_cell_angle_alpha 90.00
_cell_angle_beta 90.00
_cell_angle_gamma 90.00
_space_group_name_H-M_alt 'C m m m'
_space_group_IT_number 65
_space_group_name_Hall '-C 2 2'
loop_
_atom_site_label
_atom_site_fract_x
_atom_site_fract_y
_atom_site_fract_z
Pr1 0.000 0.000 0.233
Pr2 0.000 0.343 0.242
Ag1 0.000 0.168 0.500
Ag2 0.000 0.178 0.000
Ag3 0.000 0.500 0.500
Ru1 0.000 0.500 0.000
```